The following is a PBE calculation of a relaxed structure of BaLi2CdIr, from Alexandria via LeMat-Bulk.

Magnetization   0.00 μB per atom
Calculated formation energy   0 meV/atom

Cell: 4.947 4.947 5.289 Å, 90.00 90.00 90.00°
Fractional coordinates of all 5 atoms:
Ba (0.000, 0.000, 0.000)
Li (0.000, 0.500, 0.500)
Li (0.500, 0.000, 0.500)
Cd (0.500, 0.500, 0.000)
Ir (0.500, 0.500, 0.500)

The following is a PBE calculation of a relaxed structure of Rb3Ac3NpTe8, from Alexandria via LeMat-Bulk.

E_form (uncorrected)   -1292.1 meV/atom
Magnetization   0.20 μB per atom

Cell: 10.319 10.319 10.319 Å, 55.33 55.33 55.33°
Fractional coordinates of all 15 atoms:
Rb (0.000, 0.500, 0.500)
Rb (0.500, 0.000, 0.500)
Rb (0.500, 0.500, 0.000)
Ac (0.000, 0.000, 0.500)
Ac (0.000, 0.500, 0.000)
Ac (0.500, 0.000, 0.000)
Np (0.500, 0.500, 0.500)
Te (0.238, 0.238, 0.238)
Te (0.255, 0.722, 0.722)
Te (0.278, 0.278, 0.745)
Te (0.278, 0.745, 0.278)
Te (0.722, 0.255, 0.722)
Te (0.722, 0.722, 0.255)
Te (0.745, 0.278, 0.278)
Te (0.762, 0.762, 0.762)

The following is a PBE calculation of a relaxed structure of Ac2TaGeN5, from Alexandria via LeMat-Bulk.

E_form (uncorrected)   -893.6 meV/atom
Magnetization   0.00 μB per atom

Cell: 7.771 7.771 10.691 Å, 90.00 90.00 155.25°
Fractional coordinates of all 18 atoms:
Ac (0.113, 0.887, 0.500)
Ac (0.127, 0.873, 0.120)
Ac (0.873, 0.127, 0.620)
Ac (0.887, 0.113, 0.000)
Ta (0.216, 0.784, 0.831)
Ta (0.784, 0.216, 0.331)
Ge (0.445, 0.555, 0.261)
Ge (0.555, 0.445, 0.761)
N (0.050, 0.950, 0.854)
N (0.289, 0.711, 0.455)
N (0.320, 0.680, 0.200)
N (0.340, 0.660, 0.813)
N (0.499, 0.501, 0.107)
N (0.501, 0.499, 0.607)
N (0.660, 0.340, 0.313)
N (0.680, 0.320, 0.700)
N (0.711, 0.289, 0.955)
N (0.950, 0.050, 0.354)

The following is a PBE calculation of a relaxed structure of Sr2In2Hg5, from Alexandria via LeMat-Bulk.

Magnetization   0.00 μB per atom
Calculated formation energy   -281 meV/atom

Cell: 4.931 4.931 10.879 Å, 90.00 90.00 90.00°
Fractional coordinates of all 9 atoms:
Sr (0.000, 0.000, 0.000)
Sr (0.000, 0.000, 0.500)
In (0.500, 0.500, 0.131)
In (0.500, 0.500, 0.869)
Hg (0.000, 0.500, 0.280)
Hg (0.000, 0.500, 0.720)
Hg (0.500, 0.000, 0.280)
Hg (0.500, 0.000, 0.720)
Hg (0.500, 0.500, 0.500)